one) ! InSb2Pt2 (GGA-PBE, optimized geometry); values from VASP
&SYSTEM
  ibrav = 0, nat = 5, ntyp = 3
/
ATOMIC_SPECIES
In 114.82 In.upf
Sb 121.76 Sb.upf
Pt 195.08 Pt.upf
CELL_PARAMETERS angstrom
-2.467 2.467 4.950
2.467 -2.467 4.950
2.467 2.467 -4.950
ATOMIC_POSITIONS crystal
In 0.000 0.000 0.000
Sb 0.250 0.750 0.500
Sb 0.750 0.250 0.500
Pt 0.366 0.366 0.000
Pt 0.634 0.634 0.000
! total magnetization = 0.00 μB per formula unit
! crystal system = tetragonal
! volume = 120.5 Å³ per cell

two) ! InSb2Pt2 (GGA-PBE, optimized geometry); values from VASP
&SYSTEM
  ibrav = 0, nat = 5, ntyp = 3
/
ATOMIC_SPECIES
In 114.82 In.upf
Sb 121.76 Sb.upf
Pt 195.08 Pt.upf
CELL_PARAMETERS angstrom
-2.295 2.295 5.926
2.295 -2.295 5.926
2.295 2.295 -5.926
ATOMIC_POSITIONS crystal
In 0.000 0.000 0.000
Sb 0.365 0.365 0.000
Sb 0.635 0.635 0.000
Pt 0.250 0.750 0.500
Pt 0.750 0.250 0.500
! total magnetization = 0.00 μB per formula unit
! crystal system = tetragonal
! volume = 124.9 Å³ per cell

three) ! InSb2Pt2 (GGA-PBE, optimized geometry); values from VASP
&SYSTEM
  ibrav = 0, nat = 10, ntyp = 3
/
ATOMIC_SPECIES
In 114.82 In.upf
Sb 121.76 Sb.upf
Pt 195.08 Pt.upf
CELL_PARAMETERS angstrom
7.422 0.000 0.000
0.000 7.422 0.000
0.000 0.000 3.880
ATOMIC_POSITIONS crystal
In 0.000 0.000 0.000
In 0.500 0.500 0.000
Sb 0.164 0.336 0.500
Sb 0.336 0.836 0.500
Sb 0.664 0.164 0.500
Sb 0.836 0.664 0.500
Pt 0.136 0.636 0.000
Pt 0.364 0.136 0.000
Pt 0.636 0.864 0.000
Pt 0.864 0.364 0.000
! total magnetization = 0.00 μB per formula unit
! crystal system = tetragonal
! volume = 213.7 Å³ per cell

Which structure wins on stability? three) wins.

one) ! In2SbPt2 (GGA-PBE, optimized geometry); values from VASP
&SYSTEM
  ibrav = 0, nat = 10, ntyp = 3
/
ATOMIC_SPECIES
In 114.82 In.upf
Sb 121.76 Sb.upf
Pt 195.08 Pt.upf
CELL_PARAMETERS angstrom
8.083 0.000 0.000
0.000 8.083 0.000
0.000 0.000 3.092
ATOMIC_POSITIONS crystal
In 0.142 0.358 0.000
In 0.358 0.858 0.000
In 0.642 0.142 0.000
In 0.858 0.642 0.000
Sb 0.000 0.000 0.500
Sb 0.500 0.500 0.500
Pt 0.156 0.656 0.500
Pt 0.344 0.156 0.500
Pt 0.656 0.844 0.500
Pt 0.844 0.344 0.500
! total magnetization = 0.00 μB per formula unit
! crystal system = tetragonal
! volume = 202.0 Å³ per cell

two) ! In2SbPt2 (GGA-PBE, optimized geometry); values from VASP
&SYSTEM
  ibrav = 0, nat = 5, ntyp = 3
/
ATOMIC_SPECIES
In 114.82 In.upf
Sb 121.76 Sb.upf
Pt 195.08 Pt.upf
CELL_PARAMETERS angstrom
-2.066 2.066 6.305
2.066 -2.066 6.305
2.066 2.066 -6.305
ATOMIC_POSITIONS crystal
In 0.250 0.750 0.500
In 0.750 0.250 0.500
Sb 0.000 0.000 0.000
Pt 0.394 0.394 0.000
Pt 0.606 0.606 0.000
! total magnetization = 0.00 μB per formula unit
! crystal system = tetragonal
! volume = 107.7 Å³ per cell

three) ! In2SbPt2 (GGA-PBE, optimized geometry); values from VASP
&SYSTEM
  ibrav = 0, nat = 5, ntyp = 3
/
ATOMIC_SPECIES
In 114.82 In.upf
Sb 121.76 Sb.upf
Pt 195.08 Pt.upf
CELL_PARAMETERS angstrom
-1.982 1.982 7.057
1.982 -1.982 7.057
1.982 1.982 -7.057
ATOMIC_POSITIONS crystal
In 0.113 0.113 0.000
In 0.887 0.887 0.000
Sb 0.500 0.500 0.000
Pt 0.250 0.750 0.500
Pt 0.750 0.250 0.500
! total magnetization = 0.00 μB per formula unit
! crystal system = tetragonal
! volume = 110.9 Å³ per cell

Which structure wins on stability? one) wins.

one) ! InSb2TePt (GGA-PBE, optimized geometry); values from VASP
&SYSTEM
  ibrav = 0, nat = 5, ntyp = 4
/
ATOMIC_SPECIES
In 114.82 In.upf
Sb 121.76 Sb.upf
Te 127.60 Te.upf
Pt 195.08 Pt.upf
CELL_PARAMETERS angstrom
5.238 0.000 0.000
0.000 5.238 0.000
0.000 0.000 5.686
ATOMIC_POSITIONS crystal
In 0.000 0.000 0.000
Sb 0.000 0.500 0.500
Sb 0.500 0.000 0.500
Te 0.500 0.500 0.000
Pt 0.500 0.500 0.500
! total magnetization = 0.00 μB per formula unit
! crystal system = tetragonal
! volume = 156.0 Å³ per cell

two) ! InSb2TePt (GGA-PBE, optimized geometry); values from VASP
&SYSTEM
  ibrav = 0, nat = 5, ntyp = 4
/
ATOMIC_SPECIES
In 114.82 In.upf
Sb 121.76 Sb.upf
Te 127.60 Te.upf
Pt 195.08 Pt.upf
CELL_PARAMETERS angstrom
5.497 0.000 0.000
0.000 5.497 0.000
0.000 0.000 5.506
ATOMIC_POSITIONS crystal
In 0.000 0.000 0.000
Sb 0.000 0.500 0.000
Sb 0.500 0.000 0.000
Te 0.000 0.000 0.500
Pt 0.500 0.500 0.500
! total magnetization = 0.00 μB per formula unit
! crystal system = tetragonal
! volume = 166.4 Å³ per cell

Which structure wins on stability? one) wins.

one) ! ScIn2Pt2 (GGA-PBE, optimized geometry); values from VASP
&SYSTEM
  ibrav = 0, nat = 10, ntyp = 3
/
ATOMIC_SPECIES
Sc 44.96 Sc.upf
In 114.82 In.upf
Pt 195.08 Pt.upf
CELL_PARAMETERS angstrom
7.048 0.000 0.000
0.000 7.048 0.000
0.000 0.000 4.027
ATOMIC_POSITIONS crystal
Sc 0.000 0.000 0.000
Sc 0.500 0.500 0.000
In 0.167 0.333 0.500
In 0.333 0.833 0.500
In 0.667 0.167 0.500
In 0.833 0.667 0.500
Pt 0.138 0.638 0.000
Pt 0.362 0.138 0.000
Pt 0.638 0.862 0.000
Pt 0.862 0.362 0.000
! total magnetization = 0.00 μB per formula unit
! crystal system = tetragonal
! volume = 200.0 Å³ per cell

two) ! ScIn2Pt2 (GGA-PBE, optimized geometry); values from VASP
&SYSTEM
  ibrav = 0, nat = 10, ntyp = 3
/
ATOMIC_SPECIES
Sc 44.96 Sc.upf
In 114.82 In.upf
Pt 195.08 Pt.upf
CELL_PARAMETERS angstrom
8.063 0.000 0.000
0.000 8.063 0.000
0.000 0.000 2.977
ATOMIC_POSITIONS crystal
Sc 0.000 0.000 0.000
Sc 0.500 0.500 0.000
In 0.130 0.370 0.000
In 0.370 0.870 0.000
In 0.630 0.130 0.000
In 0.870 0.630 0.000
Pt 0.169 0.669 0.500
Pt 0.331 0.169 0.500
Pt 0.669 0.831 0.500
Pt 0.831 0.331 0.500
! total magnetization = 0.51 μB per formula unit
! crystal system = tetragonal
! volume = 193.5 Å³ per cell

Which structure wins on stability? one) wins.

one) ! ScIn2Pt2 (GGA-PBE, optimized geometry); values from VASP
&SYSTEM
  ibrav = 0, nat = 5, ntyp = 3
/
ATOMIC_SPECIES
Sc 44.96 Sc.upf
In 114.82 In.upf
Pt 195.08 Pt.upf
CELL_PARAMETERS angstrom
-2.018 2.018 6.394
2.018 -2.018 6.394
2.018 2.018 -6.394
ATOMIC_POSITIONS crystal
Sc 0.000 0.000 0.000
In 0.250 0.750 0.500
In 0.750 0.250 0.500
Pt 0.400 0.400 0.000
Pt 0.600 0.600 0.000
! total magnetization = 0.00 μB per formula unit
! crystal system = tetragonal
! volume = 104.1 Å³ per cell

two) ! ScIn2Pt2 (GGA-PBE, optimized geometry); values from VASP
&SYSTEM
  ibrav = 0, nat = 10, ntyp = 3
/
ATOMIC_SPECIES
Sc 44.96 Sc.upf
In 114.82 In.upf
Pt 195.08 Pt.upf
CELL_PARAMETERS angstrom
4.567 0.000 0.000
0.000 4.582 0.000
0.000 0.000 9.856
ATOMIC_POSITIONS crystal
Sc 0.250 0.250 0.171
Sc 0.750 0.750 0.829
In 0.250 0.250 0.500
In 0.250 0.250 0.824
In 0.750 0.750 0.176
In 0.750 0.750 0.500
Pt 0.250 0.750 0.333
Pt 0.250 0.750 0.989
Pt 0.750 0.250 0.011
Pt 0.750 0.250 0.667
! total magnetization = 0.00 μB per formula unit
! crystal system = orthorhombic
! volume = 206.2 Å³ per cell

Which structure wins on stability? two) wins.

one) ! ScIn3Pt (GGA-PBE, optimized geometry); values from VASP
&SYSTEM
  ibrav = 0, nat = 5, ntyp = 3
/
ATOMIC_SPECIES
Sc 44.96 Sc.upf
In 114.82 In.upf
Pt 195.08 Pt.upf
CELL_PARAMETERS angstrom
5.144 0.000 0.000
0.000 5.144 0.000
0.000 0.000 5.144
ATOMIC_POSITIONS crystal
Sc 0.000 0.000 0.000
In 0.000 0.500 0.500
In 0.500 0.000 0.500
In 0.500 0.500 0.000
Pt 0.500 0.500 0.500
! total magnetization = 0.00 μB per formula unit
! crystal system = cubic
! volume = 136.1 Å³ per cell

two) ! ScIn3Pt (GGA-PBE, optimized geometry); values from VASP
&SYSTEM
  ibrav = 0, nat = 5, ntyp = 3
/
ATOMIC_SPECIES
Sc 44.96 Sc.upf
In 114.82 In.upf
Pt 195.08 Pt.upf
CELL_PARAMETERS angstrom
5.428 0.000 0.000
0.000 5.428 0.000
0.000 0.000 5.428
ATOMIC_POSITIONS crystal
Sc 0.000 0.000 0.000
In 0.000 0.000 0.500
In 0.000 0.500 0.000
In 0.500 0.000 0.000
Pt 0.500 0.500 0.500
! total magnetization = 0.49 μB per formula unit
! crystal system = cubic
! volume = 160.0 Å³ per cell

Which structure wins on stability? one) wins.

one) ! In3PtSe (GGA-PBE, optimized geometry); values from VASP
&SYSTEM
  ibrav = 0, nat = 5, ntyp = 3
/
ATOMIC_SPECIES
In 114.82 In.upf
Pt 195.08 Pt.upf
Se 78.96 Se.upf
CELL_PARAMETERS angstrom
5.338 0.000 0.000
0.000 5.338 0.000
0.000 0.000 5.338
ATOMIC_POSITIONS crystal
In 0.000 0.000 0.500
In 0.000 0.500 0.000
In 0.500 0.000 0.000
Pt 0.500 0.500 0.500
Se 0.000 0.000 0.000
! total magnetization = 0.00 μB per formula unit
! crystal system = cubic
! volume = 152.1 Å³ per cell

two) ! In3PtSe (GGA-PBE, optimized geometry); values from VASP
&SYSTEM
  ibrav = 0, nat = 5, ntyp = 3
/
ATOMIC_SPECIES
In 114.82 In.upf
Pt 195.08 Pt.upf
Se 78.96 Se.upf
CELL_PARAMETERS angstrom
5.195 0.000 0.000
0.000 5.195 0.000
0.000 0.000 5.195
ATOMIC_POSITIONS crystal
In 0.000 0.000 0.500
In 0.000 0.500 0.000
In 0.500 0.000 0.000
Pt 0.000 0.000 0.000
Se 0.500 0.500 0.500
! total magnetization = 0.00 μB per formula unit
! crystal system = cubic
! volume = 140.2 Å³ per cell

Which structure wins on stability? two) wins.

one) ! InPt2WSe (GGA-PBE, optimized geometry); values from VASP
&SYSTEM
  ibrav = 0, nat = 5, ntyp = 4
/
ATOMIC_SPECIES
In 114.82 In.upf
Pt 195.08 Pt.upf
W 183.84 W.upf
Se 78.96 Se.upf
CELL_PARAMETERS angstrom
4.714 0.000 0.000
0.000 4.714 0.000
0.000 0.000 4.696
ATOMIC_POSITIONS crystal
In 0.000 0.000 0.000
Pt 0.000 0.500 0.500
Pt 0.500 0.000 0.500
W 0.500 0.500 0.000
Se 0.500 0.500 0.500
! total magnetization = 0.00 μB per formula unit
! crystal system = tetragonal
! volume = 104.4 Å³ per cell

two) ! InPt2WSe (GGA-PBE, optimized geometry); values from VASP
&SYSTEM
  ibrav = 0, nat = 5, ntyp = 4
/
ATOMIC_SPECIES
In 114.82 In.upf
Pt 195.08 Pt.upf
W 183.84 W.upf
Se 78.96 Se.upf
CELL_PARAMETERS angstrom
4.832 0.000 0.000
0.000 4.832 0.000
0.000 0.000 5.409
ATOMIC_POSITIONS crystal
In 0.000 0.000 0.000
Pt 0.000 0.500 0.500
Pt 0.500 0.000 0.500
W 0.000 0.000 0.500
Se 0.500 0.500 0.000
! total magnetization = 0.41 μB per formula unit
! crystal system = tetragonal
! volume = 126.3 Å³ per cell

Which structure wins on stability? one) wins.

one) ! Sm2In3Pt4 (GGA-PBE, optimized geometry); values from VASP
&SYSTEM
  ibrav = 0, nat = 18, ntyp = 3
/
ATOMIC_SPECIES
Sm 150.36 Sm.upf
In 114.82 In.upf
Pt 195.08 Pt.upf
CELL_PARAMETERS angstrom
7.363 0.000 0.000
0.000 7.484 0.000
-2.527 0.000 6.997
ATOMIC_POSITIONS crystal
Sm 0.193 0.177 0.059
Sm 0.193 0.323 0.559
Sm 0.807 0.677 0.441
Sm 0.807 0.823 0.941
In 0.247 0.657 0.246
In 0.247 0.843 0.746
In 0.500 0.000 0.500
In 0.500 0.500 0.000
In 0.753 0.157 0.254
In 0.753 0.343 0.754
Pt 0.081 0.543 0.841
Pt 0.081 0.957 0.341
Pt 0.497 0.634 0.633
Pt 0.497 0.866 0.133
Pt 0.503 0.134 0.867
Pt 0.503 0.366 0.367
Pt 0.919 0.043 0.659
Pt 0.919 0.457 0.159
! total magnetization = 0.00 μB per formula unit
! crystal system = monoclinic
! volume = 385.6 Å³ per cell

two) ! Sm2In3Pt4 (GGA-PBE, optimized geometry); values from VASP
&SYSTEM
  ibrav = 0, nat = 18, ntyp = 3
/
ATOMIC_SPECIES
Sm 150.36 Sm.upf
In 114.82 In.upf
Pt 195.08 Pt.upf
CELL_PARAMETERS angstrom
2.959 -8.486 0.000
2.959 8.486 0.000
0.000 0.000 7.587
ATOMIC_POSITIONS crystal
Sm 0.101 0.899 0.909
Sm 0.399 0.601 0.409
Sm 0.601 0.399 0.591
Sm 0.899 0.101 0.091
In 0.000 0.000 0.500
In 0.014 0.486 0.750
In 0.486 0.014 0.250
In 0.500 0.500 0.000
In 0.514 0.986 0.750
In 0.986 0.514 0.250
Pt 0.165 0.835 0.529
Pt 0.180 0.320 0.750
Pt 0.320 0.180 0.250
Pt 0.335 0.665 0.029
Pt 0.665 0.335 0.971
Pt 0.680 0.820 0.750
Pt 0.820 0.680 0.250
Pt 0.835 0.165 0.471
! total magnetization = 0.00 μB per formula unit
! crystal system = orthorhombic
! volume = 381.0 Å³ per cell

Which structure wins on stability? one) wins.

one) ! Sm6In3Pt (GGA-PBE, optimized geometry); values from VASP
&SYSTEM
  ibrav = 0, nat = 20, ntyp = 3
/
ATOMIC_SPECIES
Sm 150.36 Sm.upf
In 114.82 In.upf
Pt 195.08 Pt.upf
CELL_PARAMETERS angstrom
9.247 0.000 0.000
0.000 11.944 0.000
0.000 0.000 5.292
ATOMIC_POSITIONS crystal
Sm 0.012 0.238 0.000
Sm 0.158 0.083 0.500
Sm 0.186 0.412 0.500
Sm 0.314 0.912 0.000
Sm 0.342 0.583 0.000
Sm 0.488 0.738 0.500
Sm 0.512 0.262 0.500
Sm 0.658 0.417 0.000
Sm 0.686 0.088 0.000
Sm 0.814 0.588 0.500
Sm 0.842 0.917 0.500
Sm 0.988 0.762 0.000
In 0.000 0.500 0.000
In 0.154 0.723 0.500
In 0.346 0.223 0.000
In 0.500 0.000 0.500
In 0.654 0.777 0.000
In 0.846 0.277 0.500
Pt 0.000 0.000 0.000
Pt 0.500 0.500 0.500
! total magnetization = 0.00 μB per formula unit
! crystal system = orthorhombic
! volume = 584.5 Å³ per cell

two) ! Sm6In3Pt (GGA-PBE, optimized geometry); values from VASP
&SYSTEM
  ibrav = 0, nat = 20, ntyp = 3
/
ATOMIC_SPECIES
Sm 150.36 Sm.upf
In 114.82 In.upf
Pt 195.08 Pt.upf
CELL_PARAMETERS angstrom
9.973 0.000 0.000
0.000 5.166 0.000
-4.025 0.000 11.132
ATOMIC_POSITIONS crystal
Sm 0.035 0.250 0.411
Sm 0.157 0.750 0.186
Sm 0.244 0.250 0.018
Sm 0.374 0.250 0.359
Sm 0.385 0.750 0.860
Sm 0.397 0.250 0.648
Sm 0.603 0.750 0.352
Sm 0.615 0.250 0.140
Sm 0.626 0.750 0.641
Sm 0.756 0.750 0.982
Sm 0.843 0.250 0.814
Sm 0.965 0.750 0.589
In 0.043 0.750 0.879
In 0.131 0.250 0.731
In 0.270 0.750 0.486
In 0.730 0.250 0.514
In 0.869 0.750 0.269
In 0.957 0.250 0.121
Pt 0.405 0.750 0.110
Pt 0.595 0.250 0.890
! total magnetization = 0.00 μB per formula unit
! crystal system = monoclinic
! volume = 573.6 Å³ per cell

Which structure wins on stability? two) wins.

one) ! Sm2InPt (GGA-PBE, optimized geometry); values from VASP
&SYSTEM
  ibrav = 0, nat = 4, ntyp = 3
/
ATOMIC_SPECIES
Sm 150.36 Sm.upf
In 114.82 In.upf
Pt 195.08 Pt.upf
CELL_PARAMETERS angstrom
0.000 3.704 3.704
3.704 0.000 3.704
3.704 3.704 0.000
ATOMIC_POSITIONS crystal
Sm 0.250 0.250 0.250
Sm 0.750 0.750 0.750
In 0.000 0.000 0.000
Pt 0.500 0.500 0.500
! total magnetization = 0.00 μB per formula unit
! crystal system = cubic
! volume = 101.7 Å³ per cell

two) ! Sm2InPt (GGA-PBE, optimized geometry); values from VASP
&SYSTEM
  ibrav = 0, nat = 4, ntyp = 3
/
ATOMIC_SPECIES
Sm 150.36 Sm.upf
In 114.82 In.upf
Pt 195.08 Pt.upf
CELL_PARAMETERS angstrom
3.584 0.000 0.000
0.000 3.584 0.000
0.000 0.000 7.935
ATOMIC_POSITIONS crystal
Sm 0.000 0.000 0.220
Sm 0.000 0.000 0.780
In 0.500 0.500 0.500
Pt 0.500 0.500 0.000
! total magnetization = 0.00 μB per formula unit
! crystal system = tetragonal
! volume = 101.9 Å³ per cell

Which structure wins on stability? two) wins.